BaLu3Os | PBE | relaxed

As for the density of states at the Fermi level: 5.28 states/eV/f.u. The formation enthalpy at 0 K comes out at -0.0993 eV/atom. Its mass density is 8.77 g cm⁻³. As for the raw total energy: -27.2 eV per cell.

It has space group Pm-3m (No. 221), with a = 5.446 Å, b = 5.446 Å, c = 5.446 Å, α = 90.00°, β = 90.00° and γ = 90.00°. Symmetry generates all atoms from Ba at (0.000, 0.000, 0.000), Lu at (0.000, 0.500, 0.500) and Os at (0.500, 0.500, 0.500).